! MnPtCl2 | Alexandria via LeMat-Bulk | PBEsol | optimized geometry; values from VASP
! - D(E_F): 1.764 states/eV/f.u.
! - Energy above the most stable polymorph in this dataset: 0.006 eV per atom
! - Energy relative to the elements, uncorrected: -17 kJ/mol of atoms
! - SG: Cmm2
&SYSTEM
  ibrav = 0, nat = 4, ntyp = 3
/
ATOMIC_SPECIES
Mn 54.94 Mn.upf
Pt 195.08 Pt.upf
Cl 35.45 Cl.upf
CELL_PARAMETERS angstrom
1.782 -2.584 0.000
1.782 2.584 0.000
0.000 0.000 8.151
ATOMIC_POSITIONS angstrom
Mn 0.000 0.000 0.000
Pt 1.782 0.000 6.445
Cl 0.000 0.000 4.727
Cl 1.782 0.000 1.563


! MnPt2Cl | Alexandria via LeMat-Bulk | PBEsol | optimized geometry; values from VASP
! - D(E_F): 2.916 states/eV/f.u.
! - Energy above the most stable polymorph in this dataset: 0.139 eV per atom
! - Energy relative to the elements, uncorrected: 44 kJ/mol of atoms
! - SG: Cmmm
&SYSTEM
  ibrav = 0, nat = 4, ntyp = 3
/
ATOMIC_SPECIES
Mn 54.94 Mn.upf
Pt 195.08 Pt.upf
Cl 35.45 Cl.upf
CELL_PARAMETERS angstrom
2.740 -3.969 0.000
2.740 3.969 0.000
0.000 0.000 2.832
ATOMIC_POSITIONS angstrom
Mn 0.000 0.000 0.000
Pt 1.370 1.985 1.416
Pt 1.370 -1.985 1.416
Cl 2.740 0.000 0.000


! MnPtCl | Alexandria via LeMat-Bulk | PBEsol | optimized geometry; values from VASP
! - D(E_F): 1.079 states/eV/f.u.
! - Energy above the most stable polymorph in this dataset: 0.290 eV per atom
! - Energy relative to the elements, uncorrected: 26 kJ/mol of atoms
! - SG: P3m1
&SYSTEM
  ibrav = 0, nat = 3, ntyp = 3
/
ATOMIC_SPECIES
Mn 54.94 Mn.upf
Pt 195.08 Pt.upf
Cl 35.45 Cl.upf
CELL_PARAMETERS angstrom
4.245 0.000 0.000
-2.123 3.676 0.000
0.000 0.000 2.961
ATOMIC_POSITIONS angstrom
Mn 0.000 0.000 0.000
Pt 2.123 1.225 1.521
Cl 0.000 2.451 0.410


! Mn2PtCl | Alexandria via LeMat-Bulk | PBEsol | optimized geometry; values from VASP
! - D(E_F): 2.701 states/eV/f.u.
! - Energy relative to the elements, uncorrected: 33 kJ/mol of atoms
! - SG: Immm
&SYSTEM
  ibrav = 0, nat = 4, ntyp = 3
/
ATOMIC_SPECIES
Mn 54.94 Mn.upf
Pt 195.08 Pt.upf
Cl 35.45 Cl.upf
CELL_PARAMETERS angstrom
-1.869 2.450 3.432
1.869 -2.450 3.432
1.869 2.450 -3.432
ATOMIC_POSITIONS angstrom
Mn 0.000 0.000 1.612
Mn 0.000 0.000 5.252
Pt 0.000 2.450 0.000
Cl 1.869 0.000 0.000


> What is the energy relative to the elements, uncorrected in the first record?

-17 kJ/mol of atoms